A relaxed Cu2Mo2F crystal. Source: Alexandria via LeMat-Bulk, functional PBE with a Hubbard U.

It has space group I4/mmm (No. 139), with a = 3.5225 Å, b = 3.5225 Å, c = 13.4658 Å, α = 90.00°, β = 90.00° and γ = 90.00°. The distinct sites, in fractional coordinates, are Cu at (0.0000, 0.0000, 0.0957), Mo at (0.0000, 0.5000, 0.2500) and F at (0.0000, 0.0000, 0.5000).

The density of states at the Fermi level is 0.62 states/eV/atom. As for the final energy: -3.871 eV/atom. As for the total magnetic moment: 0.000 μB/atom.